#one
A plane-wave DFT calculation with PBE-GGA was carried out for a relaxed structure of PmErMgAg.

Structure (POSCAR):
```
PmErMgAg
1.0
0.000 3.738 3.738
3.738 0.000 3.738
3.738 3.738 0.000
Pm Er Mg Ag
1 1 1 1
Cartesian
0.000 0.000 0.000
3.738 3.738 3.738
1.869 1.869 1.869
5.607 5.607 5.607
```

Output
N(E_F)	1.03	states/eV per atom

=====

#two
A plane-wave DFT calculation with PBE-GGA was carried out for a relaxed structure of PmErMgAg.

Structure (POSCAR):
```
PmErMgAg
1.0
3.751 0.000 0.000
0.000 3.751 0.000
0.000 0.000 7.386
Pm Er Mg Ag
1 1 1 1
Cartesian
0.000 0.000 0.000
0.000 0.000 3.566
1.876 1.876 5.409
1.876 1.876 1.939
```

Output
N(E_F)	0.96	states/eV per atom

=====

Which of them is the most stable? Correct choice: #two.

=====

#one
A plane-wave DFT calculation with PBE-GGA was carried out for a relaxed structure of TbErMgAg.

Structure (POSCAR):
```
TbErMgAg
1.0
3.718 0.000 0.000
0.000 3.718 0.000
0.000 0.000 7.298
Tb Er Mg Ag
1 1 1 1
Cartesian
0.000 0.000 0.000
0.000 0.000 3.516
1.859 1.859 5.382
1.859 1.859 1.812
```

Output
N(E_F)	0.99	states/eV per atom

=====

#two
A plane-wave DFT calculation with PBE-GGA was carried out for a relaxed structure of TbErMgAg.

Structure (POSCAR):
```
TbErMgAg
1.0
0.000 3.700 3.700
3.700 0.000 3.700
3.700 3.700 0.000
Tb Er Mg Ag
1 1 1 1
Cartesian
0.000 0.000 0.000
3.700 3.700 3.700
1.850 1.850 1.850
5.550 5.550 5.550
```

Output
N(E_F)	1.03	states/eV per atom

=====

Which of them is the most stable? Correct choice: #one.